*w*
LaHoSb2 | PBE-GGA | optimized geometry

a b c (Å): 4.4660 4.4660 22.8777
angles (deg): 90.00 90.00 120.00
Positions (direct):
1 La 0.0000 0.0000 0.0000
2 La 0.3333 0.6667 0.6667
3 La 0.6667 0.3333 0.3333
4 Ho 0.0000 0.0000 0.1709
5 Ho 0.3333 0.6667 0.8375
6 Ho 0.6667 0.3333 0.5042
7 Sb 0.0000 0.0000 0.4225
8 Sb 0.0000 0.0000 0.5825
9 Sb 0.3333 0.6667 0.0891
10 Sb 0.3333 0.6667 0.2492
11 Sb 0.6667 0.3333 0.7558
12 Sb 0.6667 0.3333 0.9158



*x*
LaHoSb2 | PBE-GGA | optimized geometry

a b c (Å): 4.5062 4.5062 21.9626
angles (deg): 90.00 90.00 120.00
Positions (direct):
1 La 0.0000 0.0000 0.0000
2 La 0.3333 0.6667 0.6667
3 La 0.6667 0.3333 0.3333
4 Ho 0.0000 0.0000 0.5000
5 Ho 0.3333 0.6667 0.1667
6 Ho 0.6667 0.3333 0.8333
7 Sb 0.0000 0.0000 0.2452
8 Sb 0.0000 0.0000 0.7548
9 Sb 0.3333 0.6667 0.4215
10 Sb 0.3333 0.6667 0.9118
11 Sb 0.6667 0.3333 0.0882
12 Sb 0.6667 0.3333 0.5785



Name the most stable of them. *x*.



*w*
La2HoSb | PBE-GGA | optimized geometry

a b c (Å): 4.2815 4.2815 7.0302
angles (deg): 90.00 90.00 90.00
Positions (direct):
1 La 0.0000 0.0000 0.2257
2 La 0.0000 0.0000 0.7743
3 Ho 0.5000 0.5000 0.5000
4 Sb 0.5000 0.5000 0.0000



*x*
La2HoSb | PBE-GGA | optimized geometry

a b c (Å): 4.8883 4.8883 5.0041
angles (deg): 90.00 90.00 90.00
Positions (direct):
1 La 0.0000 0.5000 0.0000
2 La 0.5000 0.0000 0.0000
3 Ho 0.0000 0.0000 0.5000
4 Sb 0.5000 0.5000 0.5000



*y*
La2HoSb | PBE-GGA | optimized geometry

a b c (Å): 4.1700 4.1700 29.3015
angles (deg): 90.00 90.00 120.00
Positions (direct):
1 La 0.0000 0.0000 0.0000
2 La 0.0000 0.0000 0.1939
3 La 0.3333 0.6667 0.6667
4 La 0.3333 0.6667 0.8605
5 La 0.6667 0.3333 0.3333
6 La 0.6667 0.3333 0.5272
7 Ho 0.0000 0.0000 0.4299
8 Ho 0.3333 0.6667 0.0965
9 Ho 0.6667 0.3333 0.7632
10 Sb 0.0000 0.0000 0.5969
11 Sb 0.3333 0.6667 0.2635
12 Sb 0.6667 0.3333 0.9302



Name the most stable of them. *x*.



*w*
La3HoSc | PBE-GGA | optimized geometry

a b c (Å): 8.9265 8.9265 9.0146
angles (deg): 90.00 90.00 112.77
Positions (direct):
1 La 0.0373 0.9627 0.8171
2 La 0.0698 0.2841 0.5927
3 La 0.2159 0.4302 0.9073
4 La 0.2841 0.0698 0.4073
5 La 0.4302 0.2159 0.0927
6 La 0.4627 0.5373 0.3171
7 La 0.5373 0.4627 0.6829
8 La 0.5698 0.7841 0.9073
9 La 0.7159 0.9302 0.5927
10 La 0.7841 0.5698 0.0927
11 La 0.9302 0.7159 0.4073
12 La 0.9627 0.0373 0.1829
13 Ho 0.2086 0.7914 0.0725
14 Ho 0.2914 0.7086 0.5725
15 Ho 0.7086 0.2914 0.4275
16 Ho 0.7914 0.2086 0.9275
17 Sc 0.0660 0.4340 0.2500
18 Sc 0.4340 0.0660 0.7500
19 Sc 0.5660 0.9340 0.2500
20 Sc 0.9340 0.5660 0.7500



*x*
La3HoSc | PBE-GGA | optimized geometry

a b c (Å): 6.6132 6.6132 10.1093
angles (deg): 90.00 90.00 128.80
Positions (direct):
1 La 0.0000 0.0000 0.0000
2 La 0.0000 0.0000 0.5000
3 La 0.3045 0.6955 0.5640
4 La 0.3045 0.6955 0.9360
5 La 0.6955 0.3045 0.0640
6 La 0.6955 0.3045 0.4360
7 Ho 0.1905 0.8095 0.2500
8 Ho 0.8095 0.1905 0.7500
9 Sc 0.4624 0.5376 0.2500
10 Sc 0.5376 0.4624 0.7500



Name the most stable of them. *w*.



*w*
La2Ho3Sc | PBE-GGA | optimized geometry

a b c (Å): 6.9846 9.7476 5.6128
angles (deg): 90.00 90.00 90.00
Positions (direct):
1 La 0.2459 0.1658 0.0000
2 La 0.2541 0.6658 0.5000
3 La 0.7459 0.3342 0.5000
4 La 0.7541 0.8342 0.0000
5 Ho 0.0000 0.5000 0.0000
6 Ho 0.2500 0.3320 0.5000
7 Ho 0.2500 0.8320 0.0000
8 Ho 0.5000 0.0000 0.5000
9 Ho 0.7500 0.1680 0.0000
10 Ho 0.7500 0.6680 0.5000
11 Sc 0.0000 0.0000 0.5000
12 Sc 0.5000 0.5000 0.0000



*x*
La2Ho3Sc | PBE-GGA | optimized geometry

a b c (Å): 5.0186 15.0692 5.0666
angles (deg): 90.00 90.00 90.00
Positions (direct):
1 La 0.0000 0.1617 0.0000
2 La 0.0000 0.8383 0.0000
3 La 0.5000 0.3383 0.0000
4 La 0.5000 0.6617 0.0000
5 Ho 0.0000 0.0000 0.5000
6 Ho 0.0000 0.3365 0.5000
7 Ho 0.0000 0.6635 0.5000
8 Ho 0.5000 0.1635 0.5000
9 Ho 0.5000 0.5000 0.5000
10 Ho 0.5000 0.8365 0.5000
11 Sc 0.0000 0.5000 0.0000
12 Sc 0.5000 0.0000 0.0000



Name the most stable of them. *x*.



*w*
LaHo3Sc2 | PBE-GGA | optimized geometry

a b c (Å): 11.4665 11.4665 9.9147
angles (deg): 107.86 107.86 17.06
Positions (direct):
1 La 0.1824 0.1824 0.0478
2 La 0.8176 0.8176 0.9522
3 Ho 0.0600 0.0600 0.4375
4 Ho 0.1962 0.1962 0.7059
5 Ho 0.4337 0.4337 0.2332
6 Ho 0.5663 0.5663 0.7668
7 Ho 0.8038 0.8038 0.2941
8 Ho 0.9400 0.9400 0.5625
9 Sc 0.1918 0.1918 0.3754
10 Sc 0.4315 0.4315 0.8569
11 Sc 0.5685 0.5685 0.1431
12 Sc 0.8082 0.8082 0.6246



*x*
LaHo3Sc2 | PBE-GGA | optimized geometry

a b c (Å): 8.6289 8.6289 5.4784
angles (deg): 90.00 90.00 68.90
Positions (direct):
1 La 0.2378 0.7622 0.7500
2 La 0.7622 0.2378 0.2500
3 Ho 0.1372 0.3911 0.2500
4 Ho 0.3911 0.1372 0.7500
5 Ho 0.4075 0.5925 0.2500
6 Ho 0.5925 0.4075 0.7500
7 Ho 0.6089 0.8628 0.2500
8 Ho 0.8628 0.6089 0.7500
9 Sc 0.0162 0.1990 0.7500
10 Sc 0.1990 0.0162 0.2500
11 Sc 0.8010 0.9838 0.7500
12 Sc 0.9838 0.8010 0.2500



Name the most stable of them. *w*.



*w*
La2Ho4Sc | PBE-GGA | optimized geometry

a b c (Å): 6.8499 6.8499 11.4402
angles (deg): 90.04 90.04 121.76
Positions (direct):
1 La 0.0266 0.9734 0.7500
2 La 0.3144 0.6856 0.7500
3 La 0.6856 0.3144 0.2500
4 La 0.9734 0.0266 0.2500
5 Ho 0.2262 0.7738 0.0452
6 Ho 0.2262 0.7738 0.4548
7 Ho 0.2759 0.2760 0.0004
8 Ho 0.2760 0.2759 0.5004
9 Ho 0.7241 0.7240 0.9996
10 Ho 0.7240 0.7241 0.4996
11 Ho 0.7738 0.2262 0.5452
12 Ho 0.7738 0.2262 0.9548
13 Sc 0.4012 0.5988 0.2500
14 Sc 0.5988 0.4012 0.7500



*x*
La2Ho4Sc | PBE-GGA | optimized geometry

a b c (Å): 5.3833 5.3833 17.4174
angles (deg): 90.00 90.00 90.00
Positions (direct):
1 La 0.0000 0.0000 0.1284
2 La 0.0000 0.0000 0.8716
3 La 0.5000 0.5000 0.3716
4 La 0.5000 0.5000 0.6284
5 Ho 0.0000 0.0000 0.3275
6 Ho 0.0000 0.0000 0.6725
7 Ho 0.0000 0.5000 0.0000
8 Ho 0.0000 0.5000 0.5000
9 Ho 0.5000 0.0000 0.0000
10 Ho 0.5000 0.0000 0.5000
11 Ho 0.5000 0.5000 0.1725
12 Ho 0.5000 0.5000 0.8275
13 Sc 0.0000 0.0000 0.5000
14 Sc 0.5000 0.5000 0.0000



Name the most stable of them. *w*.